Material: TlCd2Rh
Method: DFT, PBE-GGA
State: relaxed

The value obtained for the energy above the most stable polymorph in this dataset is 0.183 eV per atom.

The structure belongs to space group F-43m (No. 216); the cell edges are 6.8285, 6.8285 and 6.8285 Å and the angles 90.00°, 90.00° and 90.00°. The inequivalent atoms are Tl at (0.0000, 0.0000, 0.0000), Cd at (0.0000, 0.0000, 0.5000), Cd at (0.2500, 0.2500, 0.7500) and Rh at (0.2500, 0.2500, 0.2500).

***

Material: TlCd2Rh
Method: DFT, PBE-GGA
State: relaxed

The value obtained for the energy above the most stable polymorph in this dataset is 0.013 eV per atom.

The structure belongs to space group P2_1/m (No. 11); the cell edges are 4.1426, 8.6228 and 5.2411 Å and the angles 90.00°, 113.20° and 90.00°. The inequivalent atoms are Tl at (0.0418, 0.2500, 0.0832), Cd at (0.3500, 0.0605, 0.7007) and Rh at (0.2578, 0.7500, 0.5143).

***

Material: TlCd2Rh
Method: DFT, PBE-GGA
State: relaxed

The value obtained for the energy above the most stable polymorph in this dataset is 0.163 eV per atom.

The structure belongs to space group R3m (No. 160, hexagonal axes); the cell edges are 3.2367, 3.2367 and 28.1146 Å and the angles 90.00°, 90.00° and 120.00°. The inequivalent atoms are Tl at (0.0000, 0.0000, 0.0000), Cd at (0.0000, 0.0000, 0.2380), Cd at (0.0000, 0.0000, 0.4819) and Rh at (0.0000, 0.0000, 0.7418).

***

Material: Tm5Tl2CdRh2
Method: DFT, PBE-GGA
State: relaxed

The structure belongs to space group P4/mbm (No. 127); the cell edges are 11.7762, 11.7762 and 3.6014 Å and the angles 90.00°, 90.00° and 90.00°. The inequivalent atoms are Tm at (0.0000, 0.5000, 0.0000), Tm at (0.0788, 0.2045, 0.0000), Tl at (0.1724, 0.6724, 0.5000), Cd at (0.0000, 0.0000, 0.5000) and Rh at (0.1308, 0.3692, 0.5000).

***

Material: Tm6Cd5Rh
Method: DFT, PBE-GGA
State: relaxed

The structure belongs to space group Cmmm (No. 65); the cell edges are 5.1273, 15.3577 and 7.3487 Å and the angles 90.00°, 90.00° and 90.00°. The inequivalent atoms are Tm at (0.0000, 0.0000, 0.2308), Tm at (0.0000, 0.3442, 0.2392), Cd at (0.0000, 0.1713, 0.5000), Cd at (0.0000, 0.1767, 0.0000), Cd at (0.0000, 0.5000, 0.5000) and Rh at (0.0000, 0.5000, 0.0000).

***

Material: Tm4Cd5Rh2
Method: DFT, PBE-GGA
State: relaxed

The structure belongs to space group P2/m (No. 10); the cell edges are 7.6941, 3.5514 and 9.4650 Å and the angles 90.00°, 93.85° and 90.00°. The inequivalent atoms are Tm at (0.1700, 0.0000, 0.3510), Tm at (0.2107, 0.0000, 0.9438), Cd at (0.1864, 0.5000, 0.6513), Cd at (0.4556, 0.5000, 0.1696), Cd at (0.5000, 0.5000, 0.5000) and Rh at (0.0769, 0.5000, 0.1447).

***

Material: TmCdRh
Method: DFT, PBE-GGA
State: relaxed

The structure belongs to space group P4_2/m (No. 84); the cell edges are 7.9121, 7.9121 and 4.2714 Å and the angles 90.00°, 90.00° and 90.00°. The inequivalent atoms are Tm at (0.0705, 0.2866, 0.0000), Cd at (0.3464, 0.6274, 0.0000) and Rh at (0.1279, 0.6056, 0.5000).

***

Material: Tm2CdRh
Method: DFT, PBE-GGA
State: relaxed

The value obtained for the energy above the most stable polymorph in this dataset is 0.154 eV per atom.

The structure belongs to space group R-3m (No. 166, hexagonal axes); the cell edges are 3.8590, 3.8590 and 23.7243 Å and the angles 90.00°, 90.00° and 120.00°. The inequivalent atoms are Tm at (0.0000, 0.0000, 0.2324), Cd at (0.0000, 0.0000, 0.0000) and Rh at (0.0000, 0.0000, 0.5000).

***

Material: TmCdRh
Method: DFT, PBE-GGA
State: relaxed

The structure belongs to space group I4mm (No. 107); the cell edges are 3.4914, 3.4914 and 9.9502 Å and the angles 90.00°, 90.00° and 90.00°. The inequivalent atoms are Tm at (0.0000, 0.0000, 0.0000), Cd at (0.0000, 0.0000, 0.6977) and Rh at (0.0000, 0.0000, 0.3589).

***

Material: Tm6CdRh2
Method: DFT, PBE-GGA
State: relaxed

The structure belongs to space group Immm (No. 71); the cell edges are 9.2314, 9.4181 and 10.2974 Å and the angles 90.00°, 90.00° and 90.00°. The inequivalent atoms are Tm at (0.0000, 0.1997, 0.2390), Tm at (0.1938, 0.5000, 0.1719), Tm at (0.2132, 0.3181, 0.5000), Cd at (0.0000, 0.0000, 0.0000), Cd at (0.0000, 0.0000, 0.5000), Rh at (0.0000, 0.3335, 0.0000) and Rh at (0.0000, 0.5000, 0.3674).

***

Material: TmCd2Rh
Method: DFT, PBE-GGA
State: relaxed

The structure belongs to space group R-3m (No. 166, hexagonal axes); the cell edges are 3.0773, 3.0773 and 31.8689 Å and the angles 90.00°, 90.00° and 120.00°. The inequivalent atoms are Tm at (0.0000, 0.0000, 0.0000), Cd at (0.0000, 0.0000, 0.0977) and Rh at (0.0000, 0.0000, 0.5000).

***

Material: TmCdRh
Method: DFT, PBE-GGA
State: relaxed

The structure belongs to space group F-43m (No. 216); the cell edges are 6.5266, 6.5266 and 6.5266 Å and the angles 90.00°, 90.00° and 90.00°. The inequivalent atoms are Tm at (0.0000, 0.0000, 0.0000), Cd at (0.0000, 0.0000, 0.5000) and Rh at (0.2500, 0.2500, 0.7500).

***

Formation enthalpy at 0 K? In order: 0.1483, -0.0214, 0.1284, -0.5046, -0.4192, -0.5150, -0.4488, -0.5088, -0.5363, -0.5581, 0.2149, -0.4901 eV per atom.